Record 1
Below is a relaxed structure of Co2NiHW, with properties calculated at the GGA-PBE level.

Computed properties:
Space-group type = P4/mmm
Mass density = 12.0 g/cm3
Total magnetization = 0.001 μB/atom
E_tot = -35.7 eV/cell
Fermi-level density of states = 5.0 states/eV per cell

a b c (Å): 3.6214 3.6214 3.8023
angles (deg): 90.00 90.00 90.00
Positions (direct):
Co (0.0000, 0.5000, 0.0000)
Co (0.5000, 0.0000, 0.0000)
Ni (0.0000, 0.0000, 0.5000)
H (0.5000, 0.5000, 0.0000)
W (0.5000, 0.5000, 0.5000)

***

Record 2
Below is a relaxed structure of CoNi2HW, with properties calculated at the GGA-PBE level.

Computed properties:
Space-group type = P4/mmm
Mass density = 11.9 g/cm3
Total magnetization = 0.000 μB/atom
E_tot = -34.4 eV/cell
Fermi-level density of states = 4.9 states/eV per cell

a b c (Å): 3.5636 3.5636 3.9686
angles (deg): 90.00 90.00 90.00
Positions (direct):
Co (0.0000, 0.0000, 0.0000)
Ni (0.0000, 0.5000, 0.5000)
Ni (0.5000, 0.0000, 0.5000)
H (0.5000, 0.5000, 0.5000)
W (0.5000, 0.5000, 0.0000)

***

Record 3
Below is a relaxed structure of CoNiHW2, with properties calculated at the GGA-PBE level.

Computed properties:
Space-group type = P4/mmm
Mass density = 14.4 g/cm3
Total magnetization = 0.233 μB/atom
E_tot = -41.4 eV/cell
Fermi-level density of states = 3.6 states/eV per cell

a b c (Å): 3.9112 3.9112 3.6673
angles (deg): 90.00 90.00 90.00
Positions (direct):
Co (0.0000, 0.0000, 0.0000)
Ni (0.5000, 0.5000, 0.0000)
H (0.5000, 0.5000, 0.5000)
W (0.0000, 0.5000, 0.5000)
W (0.5000, 0.0000, 0.5000)

***

Record 4
Below is a relaxed structure of YCo2NiH8, with properties calculated at the GGA-PBE level.

Computed properties:
Space-group type = R-3
Mass density = 5.3 g/cm3
Total magnetization = 0.000 μB/atom
E_tot = -55.7 eV/cell
Fermi-level density of states = 2.1 states/eV per cell

a b c (Å): 5.7408 5.7408 5.7408
angles (deg): 45.06 45.06 45.06
Positions (direct):
Y (0.0000, 0.0000, 0.0000)
Co (0.2021, 0.2021, 0.2021)
Co (0.7979, 0.7979, 0.7979)
Ni (0.5000, 0.5000, 0.5000)
H (0.1374, 0.4052, 0.8200)
H (0.1800, 0.8626, 0.5948)
H (0.3052, 0.3052, 0.3052)
H (0.4052, 0.8200, 0.1374)
H (0.5948, 0.1800, 0.8626)
H (0.6948, 0.6948, 0.6948)
H (0.8200, 0.1374, 0.4052)
H (0.8626, 0.5948, 0.1800)

***

mass density of number 1 (Co2NiHW)? 12.0 g/cm3

***

What is the formula in the third record? CoNiHW2